Record 1
The following is a DFT calculation (PBE) of an optimized crystal structure of Ce2VB10.

Cell: 5.7317 11.4261 4.1682 Å, 90.00 90.00 90.00°
Element x y z (fractional)
Ce (0.2110, 0.1358, 0.0000)
Ce (0.2890, 0.6358, 0.0000)
Ce (0.7110, 0.3642, 0.0000)
Ce (0.7890, 0.8642, 0.0000)
V (0.0000, 0.5000, 0.5000)
V (0.5000, 0.0000, 0.5000)
B (0.0595, 0.3076, 0.5000)
B (0.1195, 0.9581, 0.5000)
B (0.1324, 0.8024, 0.5000)
B (0.2235, 0.3815, 0.1995)
B (0.2235, 0.3815, 0.8005)
B (0.2765, 0.8815, 0.1995)
B (0.2765, 0.8815, 0.8005)
B (0.3676, 0.3024, 0.5000)
B (0.3805, 0.4581, 0.5000)
B (0.4405, 0.8076, 0.5000)
B (0.5595, 0.1924, 0.5000)
B (0.6195, 0.5419, 0.5000)
B (0.6324, 0.6976, 0.5000)
B (0.7235, 0.1185, 0.1995)
B (0.7235, 0.1185, 0.8005)
B (0.7765, 0.6185, 0.1995)
B (0.7765, 0.6185, 0.8005)
B (0.8676, 0.1976, 0.5000)
B (0.8805, 0.0419, 0.5000)
B (0.9405, 0.6924, 0.5000)

Properties
Uncorrected energy = -7.22 eV per atom
Formation energy from the elements = -0.471 eV/atom

=====

Record 2
The following is a DFT calculation (PBE) of an optimized crystal structure of NdEr3Mg6.

Cell: 9.2469 5.2853 11.2772 Å, 90.00 106.08 90.00°
Element x y z (fractional)
Nd (0.0541, 0.2500, 0.3950)
Nd (0.9459, 0.7500, 0.6050)
Er (0.2510, 0.2500, 0.9978)
Er (0.3520, 0.7500, 0.7991)
Er (0.4555, 0.2500, 0.6038)
Er (0.5445, 0.7500, 0.3962)
Er (0.6480, 0.2500, 0.2009)
Er (0.7490, 0.7500, 0.0022)
Mg (0.0500, 0.7500, 0.9055)
Mg (0.1478, 0.7500, 0.1963)
Mg (0.1488, 0.2500, 0.7036)
Mg (0.2513, 0.7500, 0.4954)
Mg (0.3468, 0.2500, 0.2939)
Mg (0.4441, 0.7500, 0.1007)
Mg (0.5559, 0.2500, 0.8993)
Mg (0.6532, 0.7500, 0.7061)
Mg (0.7487, 0.2500, 0.5046)
Mg (0.8512, 0.7500, 0.2964)
Mg (0.8522, 0.2500, 0.8037)
Mg (0.9500, 0.2500, 0.0945)

Properties
Uncorrected energy = -2.86 eV per atom
Formation energy from the elements = -0.062 eV/atom